1.
# LiCu4Pd3

Crystalline LiCu4Pd3 at its relaxed geometry (GGA-PBE, Alexandria via LeMat-Bulk).

Cell lengths 5.586, 5.586, 5.586 Å; angles 79.59, 125.70, 126.67 degrees
Element x y z (fractional)
Li: 0.327 0.500 0.827
Cu: 0.071 0.733 0.804
Cu: 0.071 0.267 0.338
Cu: 0.587 0.247 0.340
Cu: 0.092 0.753 0.340
Pd: 0.568 0.259 0.827
Pd: 0.867 0.000 0.867
Pd: 0.568 0.741 0.310

Output
DFT formation energy, eV per atom: -0.029
E, eV for the cell shown: -34.11
Distance to the lowest polymorph of the same formula, meV/atom: 35
Symmetry: Imm2, No. 44



2.
# Sm3Sc2Ge3

Crystalline Sm3Sc2Ge3 at its relaxed geometry (GGA-PBE, Alexandria via LeMat-Bulk).

Cell lengths 6.194, 8.496, 8.496 Å; angles 120.00, 90.00, 90.00 degrees
Element x y z (fractional)
Sm: 0.750 0.249 0.000
Sm: 0.750 0.751 0.751
Sm: 0.750 0.000 0.249
Sm: 0.250 0.751 0.000
Sm: 0.250 0.249 0.249
Sm: 0.250 0.000 0.751
Sc: 0.000 0.333 0.667
Sc: 0.500 0.667 0.333
Sc: 0.000 0.667 0.333
Sc: 0.500 0.333 0.667
Ge: 0.750 0.602 0.000
Ge: 0.750 0.398 0.398
Ge: 0.750 0.000 0.602
Ge: 0.250 0.398 0.000
Ge: 0.250 0.602 0.602
Ge: 0.250 0.000 0.398

Output
DFT formation energy, eV per atom: -0.768
E, eV for the cell shown: -93.63
Symmetry: P6_3/mcm, No. 193



3.
# SrMgS3

Crystalline SrMgS3 at its relaxed geometry (GGA-PBE, Alexandria via LeMat-Bulk).

Cell lengths 4.868, 4.868, 4.868 Å; angles 90.00, 90.00, 90.00 degrees
Each line ends with the local moment (μB).
Element x y z (fractional)
Sr: 0.500 0.500 0.500  0.00
S: 0.000 0.500 0.000  0.12
S: 0.000 0.000 0.500  0.10
S: 0.500 0.000 0.000  0.08
Mg: 0.000 0.000 0.000  0.00

Output
Formation energy from raw total energies, kJ/mol of formula units: -447
E, eV for the cell shown: -20.29
Distance to the lowest polymorph of the same formula, meV/atom: 0
Symmetry: Pm-3m, No. 221



4.
# BiTe4

Crystalline BiTe4 at its relaxed geometry (GGA-PBE, Alexandria via LeMat-Bulk).

Cell lengths 5.880, 5.880, 5.880 Å; angles 90.00, 90.00, 90.00 degrees
Element x y z (fractional)
Te: 0.000 0.000 0.000
Te: 0.500 0.000 0.500
Te: 0.000 0.500 0.500
Te: 0.500 0.500 0.000
Bi: 0.500 0.500 0.500

Output
Formation energy from raw total energies, kJ/mol of formula units: 345
E, eV for the cell shown: -12.87
Symmetry: Pm-3m, No. 221



5.
# SrOs2Br2

Crystalline SrOs2Br2 at its relaxed geometry (GGA-PBE, Alexandria via LeMat-Bulk).

Cell lengths 4.604, 4.604, 6.415 Å; angles 68.97, 68.97, 90.00 degrees
Element x y z (fractional)
Sr: 0.000 0.000 0.000
Os: 0.399 0.399 0.202
Os: 0.601 0.601 0.798
Br: 0.750 0.250 0.500
Br: 0.250 0.750 0.500

Output
Formation energy from raw total energies, kJ/mol of formula units: 245
E, eV for the cell shown: -24.95
Distance to the lowest polymorph of the same formula, meV/atom: 0
Symmetry: I4/mmm, No. 139



6.
# PuNb2O

Crystalline PuNb2O at its relaxed geometry (GGA-PBE, Alexandria via LeMat-Bulk).

Cell lengths 2.939, 2.939, 9.115 Å; angles 80.72, 80.72, 60.00 degrees
Each line ends with the local moment (μB).
Element x y z (fractional)
Nb: 0.109 0.109 0.672  0.32
Nb: 0.891 0.891 0.328  0.32
O: 0.500 0.500 0.500  0.02
Pu: 0.000 0.000 0.000  4.97

Output
Formation energy from raw total energies, kJ/mol of formula units: -150
E, eV for the cell shown: -40.99
Symmetry: R-3m, No. 166



7.
# MnAsPbCl2

Crystalline MnAsPbCl2 at its relaxed geometry (GGA-PBE, Alexandria via LeMat-Bulk).

Cell lengths 5.438, 5.733, 5.438 Å; angles 90.00, 90.00, 90.00 degrees
Each line ends with the local moment (μB).
Element x y z (fractional)
Pb: 0.000 0.000 0.000  -0.06
As: 0.500 0.500 0.500  -0.14
Mn: 0.000 0.500 0.000  4.34
Cl: 0.000 0.000 0.500  0.02
Cl: 0.500 0.000 0.000  0.00

Output
Formation energy from raw total energies, kJ/mol of formula units: 251
E, eV for the cell shown: -18.62
Symmetry: P4/mmm, No. 123



8.
# ZnCd2Ni

Crystalline ZnCd2Ni at its relaxed geometry (GGA-PBE, Alexandria via LeMat-Bulk).

Cell lengths 9.522, 9.522, 9.522 Å; angles 17.81, 17.81, 17.81 degrees
Element x y z (fractional)
Cd: 0.992 0.992 0.992
Cd: 0.508 0.508 0.508
Ni: 0.250 0.250 0.250
Zn: 0.750 0.750 0.750

Output
DFT formation energy, eV per atom: 0.171
E, eV for the cell shown: -8.20
Symmetry: R-3m, No. 166